No. 1
Material: CaNb2InRe
Method: DFT, PBEsol
State: relaxed

Unit cell a=4.9093 b=5.0472 c=5.0472 alpha=90.00 beta=90.00 gamma=90.00
With the nearest neighbours (Å) after each atom.
Positions (direct):
Re (0.5000, 0.0000, 0.0000)  2 In 2.45
Nb (0.0000, 0.0000, 0.5000)  2 In 2.52
Nb (0.0000, 0.5000, 0.0000)  2 In 2.52
Ca (0.5000, 0.5000, 0.5000)  8 Nb 3.52, 4 Re 3.57
In (0.0000, 0.0000, 0.0000)  2 Re 2.45, 4 Nb 2.52

Values from the calculation:
total magnetic moment: 0.00 μB/cell
DFT formation energy: 181.0 kJ per mole of atoms


No. 2
Material: Ca2NbInSi
Method: DFT, PBEsol
State: relaxed

Unit cell a=4.8929 b=5.4618 c=5.4618 alpha=90.00 beta=90.00 gamma=90.00
With the nearest neighbours (Å) after each atom.
Positions (direct):
Nb (0.0000, 0.0000, 0.0000)  2 Si 2.45, 4 Ca 2.73
Si (0.5000, 0.0000, 0.0000)  2 Nb 2.45
Ca (0.0000, 0.0000, 0.5000)  2 Nb 2.73
Ca (0.0000, 0.5000, 0.0000)  2 Nb 2.73
In (0.5000, 0.5000, 0.5000)  8 Ca 3.67, 4 Si 3.86

Values from the calculation:
total magnetic moment: 0.00 μB/cell
uncorrected formation energy: 0.6359 eV per atom


No. 3
Material: CaIn4Ni
Method: DFT, PBEsol
State: relaxed

Unit cell a=4.3836 b=7.2606 c=8.5223 alpha=90.00 beta=104.90 gamma=90.00
With the nearest neighbours (Å) after each atom.
Positions (direct):
Ni (0.2256, 0.2500, 0.4512)  7 In 2.55-2.71
Ni (0.7744, 0.7500, 0.5488)  7 In 2.55-2.71
Ca (0.8742, 0.2500, 0.7484)  11 In 3.24-3.52, 2 Ni 3.29
Ca (0.1258, 0.7500, 0.2516)  11 In 3.24-3.52, 2 Ni 3.29
In (0.3124, 0.9517, 0.6248)  3 Ni 2.60-2.71
In (0.0709, 0.2500, 0.1417)  1 Ni 2.55
In (0.6876, 0.4517, 0.3752)  3 Ni 2.60-2.71
In (0.5000, 0.5000, 0.0000)  6 In 3.08-3.11
In (0.9291, 0.7500, 0.8583)  1 Ni 2.55
In (0.6876, 0.0483, 0.3752)  3 Ni 2.60-2.71
In (0.3124, 0.5483, 0.6248)  3 Ni 2.60-2.71
In (0.5000, 0.0000, 0.0000)  6 In 3.08-3.11

Values from the calculation:
total magnetic moment: 0.00 μB/cell
DFT formation energy: -33.1 kJ per mole of atoms


No. 4
Material: CaIn3O
Method: DFT, PBEsol
State: relaxed

Unit cell a=5.8529 b=5.8529 c=5.8529 alpha=90.00 beta=90.00 gamma=90.00
With the nearest neighbours (Å) after each atom.
Positions (direct):
Ca (0.0000, 0.0000, 0.0000)  6 In 2.93
O (0.5000, 0.5000, 0.5000)  12 In 4.14
In (0.0000, 0.5000, 0.0000)  2 Ca 2.93
In (0.0000, 0.0000, 0.5000)  2 Ca 2.93
In (0.5000, 0.0000, 0.0000)  2 Ca 2.93

Values from the calculation:
total magnetic moment: 1.05 μB/cell
uncorrected formation energy: 1.1067 eV per atom


Look up the total magnetic moment of the first one. 0.00 μB/cell